[1]
This record from Alexandria via LeMat-Bulk describes a geometry-optimized SbPb2Br structure. The functional is PBE-GGA.

Unit cell a=7.8206 b=7.8206 c=7.8206 alpha=90.00 beta=90.00 gamma=90.00
Fractional positions:
Sb 0.0000 0.0000 0.0000
Sb 0.0000 0.5000 0.5000
Sb 0.5000 0.0000 0.5000
Sb 0.5000 0.5000 0.0000
Pb 0.2500 0.2500 0.2500
Pb 0.2500 0.2500 0.7500
Pb 0.2500 0.7500 0.2500
Pb 0.2500 0.7500 0.7500
Pb 0.7500 0.2500 0.2500
Pb 0.7500 0.2500 0.7500
Pb 0.7500 0.7500 0.2500
Pb 0.7500 0.7500 0.7500
Br 0.0000 0.0000 0.5000
Br 0.0000 0.5000 0.0000
Br 0.5000 0.0000 0.0000
Br 0.5000 0.5000 0.5000

Uncorrected formation energy (eV/atom): -0.226
Fermi-level density of states (states/eV/cell): 4.5
Offset from the most stable computed form (kJ/mol of atoms): 12.30



[2]
This record from Alexandria via LeMat-Bulk describes a geometry-optimized Sb2PbBr8 structure. The functional is PBE-GGA.

Unit cell a=8.3648 b=8.3648 c=7.9704 alpha=106.39 beta=106.39 gamma=74.82
Fractional positions:
Sb 0.1474 0.1474 0.1129
Sb 0.8526 0.8526 0.8871
Pb 0.0000 0.0000 0.5000
Br 0.1114 0.7145 0.7136
Br 0.2144 0.2144 0.8102
Br 0.2855 0.8886 0.2864
Br 0.3419 0.3419 0.3173
Br 0.6581 0.6581 0.6827
Br 0.7145 0.1114 0.7136
Br 0.7856 0.7856 0.1898
Br 0.8886 0.2855 0.2864

Uncorrected formation energy (eV/atom): -0.602
Fermi-level density of states (states/eV/cell): 0.0
Offset from the most stable computed form (kJ/mol of atoms): 2.29



[3]
This record from Alexandria via LeMat-Bulk describes a geometry-optimized SbPbBr2 structure. The functional is PBE-GGA.

Unit cell a=7.1493 b=10.0353 c=3.7624 alpha=90.00 beta=119.58 gamma=90.00
Fractional positions:
Sb 0.0000 0.0000 0.0000
Sb 0.5000 0.5000 0.0000
Pb 0.0000 0.5000 0.0000
Pb 0.5000 0.0000 0.0000
Br 0.2500 0.2500 0.5000
Br 0.2500 0.7500 0.5000
Br 0.7500 0.2500 0.5000
Br 0.7500 0.7500 0.5000

Uncorrected formation energy (eV/atom): -0.226
Fermi-level density of states (states/eV/cell): 2.8
Offset from the most stable computed form (kJ/mol of atoms): 8.43



[4]
This record from Alexandria via LeMat-Bulk describes a geometry-optimized Sb2PbBr structure. The functional is PBE-GGA.

Unit cell a=6.1101 b=11.5651 c=3.3914 alpha=90.00 beta=100.14 gamma=90.00
Fractional positions:
Sb 0.2500 0.2500 0.0000
Sb 0.2500 0.7500 0.0000
Sb 0.7500 0.2500 0.0000
Sb 0.7500 0.7500 0.0000
Pb 0.0000 0.0000 0.5000
Pb 0.5000 0.5000 0.5000
Br 0.0000 0.5000 0.5000
Br 0.5000 0.0000 0.5000

Uncorrected formation energy (eV/atom): 0.062
Fermi-level density of states (states/eV/cell): 4.7
Offset from the most stable computed form (kJ/mol of atoms): 21.82



[5]
This record from Alexandria via LeMat-Bulk describes a geometry-optimized Sb2PbBr structure. The functional is PBE-GGA.

Unit cell a=3.9469 b=3.9469 c=7.7408 alpha=90.00 beta=90.00 gamma=90.00
Fractional positions:
Sb 0.0000 0.0000 0.2072
Sb 0.0000 0.0000 0.7928
Pb 0.5000 0.5000 0.0000
Br 0.5000 0.5000 0.5000

Uncorrected formation energy (eV/atom): 0.081
Fermi-level density of states (states/eV/cell): 2.0
Offset from the most stable computed form (kJ/mol of atoms): 23.58



[6]
This record from Alexandria via LeMat-Bulk describes a geometry-optimized SbPbBr5 structure. The functional is PBE-GGA.

Unit cell a=7.1389 b=13.4492 c=12.2537 alpha=90.00 beta=98.89 gamma=90.00
Fractional positions:
Sb 0.0454 0.0009 0.1796
Sb 0.0454 0.4991 0.6796
Sb 0.9546 0.5009 0.3204
Sb 0.9546 0.9991 0.8204
Pb 0.4127 0.2357 0.6713
Pb 0.4127 0.2643 0.1713
Pb 0.5873 0.7357 0.8287
Pb 0.5873 0.7643 0.3287
Br 0.0487 0.1090 0.6501
Br 0.0487 0.3910 0.1501
Br 0.1557 0.1184 0.9920
Br 0.1557 0.3816 0.4920
Br 0.2503 0.6248 0.3192
Br 0.2503 0.8752 0.8192
Br 0.2804 0.1332 0.3271
Br 0.2804 0.3668 0.8271
Br 0.3820 0.6210 0.6579
Br 0.3820 0.8790 0.1579
Br 0.6180 0.1210 0.8421
Br 0.6180 0.3790 0.3421
Br 0.7196 0.6332 0.1729
Br 0.7196 0.8668 0.6729
Br 0.7497 0.1248 0.1808
Br 0.7497 0.3752 0.6808
Br 0.8443 0.6184 0.5080
Br 0.8443 0.8816 0.0080
Br 0.9513 0.6090 0.8499
Br 0.9513 0.8910 0.3499

Uncorrected formation energy (eV/atom): -0.673
Fermi-level density of states (states/eV/cell): 0.0



[7]
This record from Alexandria via LeMat-Bulk describes a geometry-optimized Sb2PbBr structure. The functional is PBE-GGA.

Unit cell a=9.3570 b=4.1471 c=8.0057 alpha=90.00 beta=109.18 gamma=90.00
Fractional positions:
Sb 0.0000 0.0000 0.0000
Sb 0.2202 0.5000 0.1424
Sb 0.5000 0.5000 0.0000
Sb 0.7202 0.0000 0.1424
Pb 0.1884 0.0000 0.7475
Pb 0.6884 0.5000 0.7475
Br 0.4890 0.0000 0.5181
Br 0.9890 0.5000 0.5181

Uncorrected formation energy (eV/atom): -0.157
Fermi-level density of states (states/eV/cell): 2.8
Offset from the most stable computed form (kJ/mol of atoms): 0.64



[8]
This record from Alexandria via LeMat-Bulk describes a geometry-optimized Sb2PbBr structure. The functional is PBE-GGA.

Unit cell a=5.8121 b=5.8121 c=3.4482 alpha=90.00 beta=90.00 gamma=90.00
Fractional positions:
Sb 0.0000 0.5000 0.0000
Sb 0.5000 0.0000 0.0000
Pb 0.0000 0.0000 0.5000
Br 0.5000 0.5000 0.5000

Uncorrected formation energy (eV/atom): 0.176
Fermi-level density of states (states/eV/cell): 2.4
Offset from the most stable computed form (kJ/mol of atoms): 32.80